No. 1
DFT (PBE) results for a relaxed LiCoIrPb crystal.

Unit cell a=6.211 b=6.211 c=6.211 alpha=90.00 beta=90.00 gamma=90.00
Space group F-43m (No. 216)
Unique sites:
1 Li 0.000 0.000 0.000
2 Co 0.000 0.000 0.500
3 Ir 0.250 0.250 0.750
4 Pb 0.250 0.250 0.250

## Properties
calculated volume	240	Å³ per cell
density	12.9	g/cm3
relative energy among the computed polymorphs	0.0	meV per atom


No. 2
DFT (PBE) results for a relaxed LuFeReGe crystal.

Unit cell a=6.299 b=6.299 c=6.299 alpha=90.00 beta=90.00 gamma=90.00
Space group F-43m (No. 216)
Unique sites:
1 Lu 0.000 0.000 0.000
2 Fe 0.250 0.250 0.750
3 Re 0.250 0.250 0.250
4 Ge 0.000 0.000 0.500

## Properties
calculated volume	250	Å³ per cell
density	13.0	g/cm3
relative energy among the computed polymorphs	0.0	meV per atom